Here is Co5Tc at its PBEsol-relaxed geometry from Alexandria via LeMat-Bulk. Energies are from meta-GGA SCAN.

abc: 4.3073 4.3073 3.9745
angles: 90.00 90.00 120.00
Space group P-62m (No. 189)
Symmetry-distinct sites (fractional):
1 Co 0.0000 0.6571 0.0000 (multiplicity 3)
2 Co 0.3333 0.6667 0.5000 (multiplicity 2)
3 Tc 0.0000 0.0000 0.5000 (multiplicity 1)

Results
DFT formation energy = 18.2 kJ/mol of atoms
M_tot = 6.6 μB per formula unit
Distance to the lowest polymorph of the same formula = 0.104 eV/atom

---

Here is PrInAu at its PBEsol-relaxed geometry from Alexandria via LeMat-Bulk. Energies are from meta-GGA SCAN.

abc: 7.7289 7.7289 4.1484
angles: 90.00 90.00 120.00
Space group P-62m (No. 189)
Symmetry-distinct sites (fractional):
1 Pr 0.0000 0.4107 0.0000 (multiplicity 3)
2 In 0.0000 0.7480 0.5000 (multiplicity 3)
3 Au 0.0000 0.0000 0.0000 (multiplicity 1)
4 Au 0.3333 0.6667 0.5000 (multiplicity 2)

Results
DFT formation energy = -91.8 kJ/mol of atoms
M_tot = 0.0 μB per formula unit

---

Here is Ca2RhAu at its PBEsol-relaxed geometry from Alexandria via LeMat-Bulk. Energies are from meta-GGA SCAN.

abc: 3.6365 3.6365 23.8983
angles: 90.00 90.00 120.00
Space group R-3m (No. 166, hexagonal axes)
Symmetry-distinct sites (fractional):
1 Ca 0.0000 0.0000 0.2435 (multiplicity 6)
2 Rh 0.0000 0.0000 0.5000 (multiplicity 3)
3 Au 0.0000 0.0000 0.0000 (multiplicity 3)

Results
DFT formation energy = -36.1 kJ/mol of atoms
M_tot = 0.0 μB per formula unit

---

Here is Li2TaRu at its PBEsol-relaxed geometry from Alexandria via LeMat-Bulk. Energies are from meta-GGA SCAN.

abc: 5.0556 9.9388 2.9270
angles: 90.00 123.30 90.00
Space group C2/m (No. 12)
Symmetry-distinct sites (fractional):
1 Li 0.2500 0.2500 0.0000 (multiplicity 4)
2 Ta 0.0000 0.0000 0.5000 (multiplicity 2)
3 Ru 0.0000 0.5000 0.5000 (multiplicity 2)

Results
DFT formation energy = 16.5 kJ/mol of atoms
M_tot = 0.0 μB per formula unit
Distance to the lowest polymorph of the same formula = 0.000 eV/atom

---

Here is Li2Ti2P3O12 at its PBEsol-relaxed geometry from Alexandria via LeMat-Bulk. Energies are from meta-GGA SCAN.

abc: 12.0495 8.6163 8.6700
angles: 90.00 90.00 90.00
Space group Pbcn (No. 60)
Symmetry-distinct sites (fractional):
1 Li 0.1840 0.2156 0.2224 (multiplicity 8)
2 Ti 0.1124 0.2532 0.5364 (multiplicity 8)
3 P 0.0000 0.4605 0.2500 (multiplicity 4)
4 P 0.1464 0.1046 0.8946 (multiplicity 8)
5 O 0.0288 0.1549 0.9413 (multiplicity 8)
6 O 0.0664 0.4406 0.6362 (multiplicity 8)
7 O 0.0830 0.3533 0.3343 (multiplicity 8)
8 O 0.1563 0.0735 0.3939 (multiplicity 8)
9 O 0.1754 0.1655 0.7316 (multiplicity 8)
10 O 0.2276 0.1739 0.0142 (multiplicity 8)

Results
Uncorrected formation energy = -2.801 eV per atom
M_tot = 1.0 μB per formula unit

---

Here is Tl2SnHg at its PBEsol-relaxed geometry from Alexandria via LeMat-Bulk. Energies are from meta-GGA SCAN.

abc: 7.5226 7.5226 7.5226
angles: 90.00 90.00 90.00
Space group Fm-3m (No. 225)
Symmetry-distinct sites (fractional):
1 Tl 0.2500 0.2500 0.2500 (multiplicity 8)
2 Sn 0.0000 0.0000 0.0000 (multiplicity 4)
3 Hg 0.0000 0.0000 0.5000 (multiplicity 4)

Results
DFT formation energy = 6.4 kJ/mol of atoms
M_tot = 0.0 μB per formula unit